No. 1
The following is a GGA-PBE calculation of MgAlSnO4 after structural relaxation, from Alexandria via LeMat-Bulk.

The structure belongs to space group Imma (No. 74); the cell edges are 6.1377, 6.2260 and 8.6636 Å and the angles 90.00°, 90.00° and 90.00°. The inequivalent atoms are Mg at (0.0000, 0.0000, 0.0000), Al at (0.0000, 0.2500, 0.3769), Sn at (0.2500, 0.2500, 0.7500), O at (0.0000, 0.0167, 0.2472) and O at (0.2500, 0.2500, 0.0062).

=====

No. 2
The following is a GGA-PBE calculation of Mg2AlSnO6 after structural relaxation, from Alexandria via LeMat-Bulk.

The structure belongs to space group R3 (No. 146, hexagonal axes); the cell edges are 5.1736, 5.1736 and 13.7971 Å and the angles 90.00°, 90.00° and 120.00°. The inequivalent atoms are Mg at (0.0000, 0.0000, 0.0000), Mg at (0.0000, 0.0000, 0.4983), Al at (0.0000, 0.0000, 0.7919), Sn at (0.0000, 0.0000, 0.2885), O at (0.0042, 0.6363, 0.0578) and O at (0.0109, 0.2966, 0.8856).

=====

No. 3
The following is a GGA-PBE calculation of SrMg6AlO8 after structural relaxation, from Alexandria via LeMat-Bulk.

Its energy relative to the lowest polymorph listed for this composition is 33.2 meV/atom.

The structure belongs to space group P4/mmm (No. 123); the cell edges are 4.5222, 4.5222 and 8.7558 Å and the angles 90.00°, 90.00° and 90.00°. The inequivalent atoms are Sr at (0.0000, 0.0000, 0.0000), Mg at (0.0000, 0.0000, 0.5000), Mg at (0.0000, 0.5000, 0.2622), Mg at (0.5000, 0.5000, 0.5000), Al at (0.5000, 0.5000, 0.0000), O at (0.0000, 0.0000, 0.2734), O at (0.0000, 0.5000, 0.0000), O at (0.0000, 0.5000, 0.5000) and O at (0.5000, 0.5000, 0.2484).

=====

No. 4
The following is a GGA-PBE calculation of SrMg6AlO8 after structural relaxation, from Alexandria via LeMat-Bulk.

Its energy relative to the lowest polymorph listed for this composition is 0.0 meV/atom.

The structure belongs to space group P4/mmm (No. 123); the cell edges are 4.5734, 4.5734 and 8.5937 Å and the angles 90.00°, 90.00° and 90.00°. The inequivalent atoms are Sr at (0.0000, 0.0000, 0.0000), Mg at (0.0000, 0.5000, 0.2592), Mg at (0.5000, 0.5000, 0.0000), Mg at (0.5000, 0.5000, 0.5000), Al at (0.0000, 0.0000, 0.5000), O at (0.0000, 0.0000, 0.2867), O at (0.0000, 0.5000, 0.0000), O at (0.0000, 0.5000, 0.5000) and O at (0.5000, 0.5000, 0.2517).

=====

No. 5
The following is a GGA-PBE calculation of MgTaAlO2 after structural relaxation, from Alexandria via LeMat-Bulk.

The structure belongs to space group P4/mmm (No. 123); the cell edges are 3.9273, 3.9273 and 5.9205 Å and the angles 90.00°, 90.00° and 90.00°. The inequivalent atoms are Mg at (0.0000, 0.0000, 0.0000), Ta at (0.5000, 0.5000, 0.5000), Al at (0.5000, 0.5000, 0.0000) and O at (0.0000, 0.5000, 0.5000).

=====

No. 6
The following is a GGA-PBE calculation of Mg2AlTcO6 after structural relaxation, from Alexandria via LeMat-Bulk.

The structure belongs to space group P4mm (No. 99); the cell edges are 5.0753, 5.0753 and 4.7827 Å and the angles 90.00°, 90.00° and 90.00°. The inequivalent atoms are Mg at (0.0000, 0.5000, 0.0000), Al at (0.0000, 0.0000, 0.6482), Tc at (0.5000, 0.5000, 0.6209), O at (0.0000, 0.0000, 0.2828), O at (0.2508, 0.2508, 0.7953) and O at (0.5000, 0.5000, 0.2640).

=====

No. 7
The following is a GGA-PBE calculation of MgAlTcO6 after structural relaxation, from Alexandria via LeMat-Bulk.

The structure belongs to space group P-31c (No. 163); the cell edges are 4.9463, 4.9463 and 9.0916 Å and the angles 90.00°, 90.00° and 120.00°. The inequivalent atoms are Mg at (0.0000, 0.0000, 0.0000), Al at (0.3333, 0.6667, 0.2500), Tc at (0.3333, 0.6667, 0.7500) and O at (0.9998, 0.3560, 0.1359).

=====

No. 8
The following is a GGA-PBE calculation of MgAl2TeO6 after structural relaxation, from Alexandria via LeMat-Bulk.

The structure belongs to space group C2/c (No. 15); the cell edges are 10.1239, 8.7555 and 5.5115 Å and the angles 90.00°, 104.11° and 90.00°. The inequivalent atoms are Mg at (0.0000, 0.0936, 0.2500), Al at (0.2075, 0.4053, 0.2606), Te at (0.0000, 0.2818, 0.7500), O at (0.1056, 0.1078, 0.6462), O at (0.1198, 0.2406, 0.1139) and O at (0.1621, 0.4460, 0.5409).

=====

No. 9
The following is a GGA-PBE calculation of Mg2AlTeO6 after structural relaxation, from Alexandria via LeMat-Bulk.

The structure belongs to space group P4mm (No. 99); the cell edges are 5.1454, 5.1454 and 4.8498 Å and the angles 90.00°, 90.00° and 90.00°. The inequivalent atoms are Mg at (0.0000, 0.5000, 0.0000), Al at (0.0000, 0.0000, 0.6273), Te at (0.5000, 0.5000, 0.6204), O at (0.0000, 0.0000, 0.2684), O at (0.2427, 0.2427, 0.7775) and O at (0.5000, 0.5000, 0.2224).

=====

No. 10
The following is a GGA-PBE calculation of MgAl2TeO8 after structural relaxation, from Alexandria via LeMat-Bulk.

The structure belongs to space group I-4m2 (No. 119); the cell edges are 6.4800, 6.4800 and 6.3807 Å and the angles 90.00°, 90.00° and 90.00°. The inequivalent atoms are Mg at (0.0000, 0.0000, 0.0000), Al at (0.0000, 0.0000, 0.5000), Al at (0.0000, 0.5000, 0.7500), Te at (0.0000, 0.5000, 0.2500), O at (0.0000, 0.2070, 0.3228) and O at (0.0000, 0.3100, 0.9510).

=====

No. 11
The following is a GGA-PBE calculation of Mg6TiAlO8 after structural relaxation, from Alexandria via LeMat-Bulk.

Its energy relative to the lowest polymorph listed for this composition is 11.1 meV/atom.

The structure belongs to space group P4/mmm (No. 123); the cell edges are 4.3116, 4.3116 and 8.5860 Å and the angles 90.00°, 90.00° and 90.00°. The inequivalent atoms are Mg at (0.0000, 0.0000, 0.0000), Mg at (0.0000, 0.5000, 0.2488), Mg at (0.5000, 0.5000, 0.0000), Ti at (0.0000, 0.0000, 0.5000), Al at (0.5000, 0.5000, 0.5000), O at (0.0000, 0.0000, 0.2409), O at (0.0000, 0.5000, 0.0000), O at (0.0000, 0.5000, 0.5000) and O at (0.5000, 0.5000, 0.2587).

=====

No. 12
The following is a GGA-PBE calculation of Mg6TiAlO8 after structural relaxation, from Alexandria via LeMat-Bulk.

Its energy relative to the lowest polymorph listed for this composition is 0.0 meV/atom.

The structure belongs to space group P4/mmm (No. 123); the cell edges are 4.3170, 4.3170 and 8.5656 Å and the angles 90.00°, 90.00° and 90.00°. The inequivalent atoms are Mg at (0.0000, 0.0000, 0.0000), Mg at (0.0000, 0.0000, 0.5000), Mg at (0.0000, 0.5000, 0.2488), Ti at (0.5000, 0.5000, 0.0000), Al at (0.5000, 0.5000, 0.5000), O at (0.0000, 0.0000, 0.2503), O at (0.0000, 0.5000, 0.0000), O at (0.0000, 0.5000, 0.5000) and O at (0.5000, 0.5000, 0.2790).

=====

no.,density (g/cm3),formation energy without anion corrections (eV per atom),total moment (μB per formula unit)
1,4.7,-2.148,0.00
2,4.5,-2.192,1.07
3,3.6,-2.363,0.00
4,3.6,-2.396,0.00
5,4.8,-1.178,0.00
6,3.6,-1.991,0.00
7,4.2,-1.971,0.00
8,4.2,-2.352,0.00
9,3.9,-1.819,0.00
10,4.1,-1.593,2.02
11,3.6,-2.414,2.27
12,3.6,-2.425,2.39